The following is a DFT calculation (PBE) of LaPm9Mg2 after structural relaxation.

Cell and atoms, written as extended XYZ:
```
12
Lattice="-1.673 4.286 2.111 -1.010 -2.504 4.282 14.098 3.001 5.079" Properties=species:S:1:pos:R:3 pbc="T T T"
La 0.000 0.000 0.000
Pm -1.341 0.891 3.197
Pm 3.433 1.907 4.917
Pm 7.982 2.876 6.555
Pm 1.604 2.662 1.935
Pm 6.212 3.643 3.595
Pm 10.821 4.624 5.255
Pm 1.935 -0.732 3.020
Pm 6.544 0.249 4.680
Pm 11.153 1.230 6.341
Mg 4.766 1.015 1.717
Mg 9.332 1.986 3.362
```

Output
- Raw total energy: -50.69 eV/f.u.
- Formation energy from the elements: 0.015 eV per atom
- Magnetic moment: 0.0 μB per formula unit